VASP calculation (GGA-PBE) on crystalline CaTa2Tc at its relaxed geometry.

POSCAR file:
```
CaTa2Tc
1.0
5.709 -0.003 0.009
4.772 3.133 0.009
2.052 0.613 4.350
Ca Tc Ta
1 1 2
Direct
0.228 0.228 0.271
0.481 0.481 0.519
0.005 0.005 0.995
0.785 0.785 0.715
```

## Properties
The energy is -8.6007 eV/atom.